[1]
4
Lattice="-3.487 0.591 -2.257 -3.597 -1.811 1.173 -3.936 5.357 3.626" Properties=species:S:1:pos:R:3 comment="TlSb2Pt (GGA-PBE, relaxed)" raw_formation_energy_kj_per_mol_fu=-101.8 polymorph_energy_kj_per_mol_atoms=1.8 rho_g_cm3=9.8 space_group="C2/m, No. 12" crystal_system=monoclinic pbc="T T T"
Sb -5.631 2.514 1.579
Pt -8.265 3.103 1.907
Tl -2.755 1.034 0.636
Sb -3.815 4.911 3.318

***

[2]
8
Lattice="5.461 0.000 0.000 2.731 4.729 0.000 2.731 1.576 8.937" Properties=species:S:1:pos:R:3 comment="Ce2SmHoTl4 (GGA-PBE, relaxed)" rho_g_cm3=10.2 dft_energy_ev_per_cell=-32.88 space_group="R-3m, No. 166" crystal_system=trigonal pbc="T T T"
Ce 2.731 1.576 2.249
Tl 5.461 3.153 1.140
Tl 5.461 3.153 7.797
Tl 8.192 4.729 3.372
Tl 2.731 1.576 5.565
Ce 8.192 4.729 6.688
Ho 5.461 3.153 4.468
Sm 0.000 0.000 0.000

***

[3]
8
Lattice="-1.436 -3.744 1.929 3.883 -0.389 2.137 -2.077 2.741 8.905" Properties=species:S:1:pos:R:3 comment="LaTc2Sn (GGA-PBE, relaxed)" rho_g_cm3=8.4 dft_energy_ev_per_cell=-54.30 space_group="I-42d, No. 122" crystal_system=tetragonal pbc="T T T"
Tc -1.015 -1.921 3.811
La 0.000 0.000 0.000
Tc 1.812 0.193 3.690
Sn 1.224 -2.066 2.033
La -1.145 -1.535 6.433
Tc -0.866 0.529 8.079
Sn 1.515 0.143 6.537
Tc 0.810 -1.583 10.361

***

[4]
4
Lattice="4.798 0.000 0.000 2.399 4.155 0.000 2.399 1.385 7.237" Properties=species:S:1:pos:R:3 comment="GdGe2Pb (GGA-PBE, relaxed)" polymorph_energy_kj_per_mol_atoms=56.3 rho_g_cm3=5.9 space_group="R-3m, No. 166" crystal_system=trigonal pbc="T T T"
Pb 0.000 0.000 0.000
Ge 7.197 4.155 2.669
Ge 2.399 1.385 4.568
Gd 4.798 2.770 3.618